Compound: YNi2Mo
Source: Alexandria
Functional: SCAN
Structure: single point on PBEsol structure

Calculated values
DOS(E_F) = 3.3 states/eV per cell
calculated volume = 62.4 Å³/cell
size of the total moment = 0.0000 μB per atom
E_form = 0.04 eV per atom

Lattice parameters (Å, degrees): 3.1614 4.1090 4.8932 90.00 100.88 90.00
Last column: nearest neighbours and their distance in Å.
Space group Pm (No. 6)
One atom of each set of equivalent atoms:
Y (0.0000, 0.0000, 0.0000)  7 Ni 2.63-2.86
Ni (0.4021, 0.0000, 0.5223)  2 Mo 2.42, 2 Ni 2.54, 1 Y 2.63
Ni (0.4318, 0.5000, 0.8298)  2 Mo 2.40-2.65, 2 Ni 2.54, 2 Y 2.68
Mo (0.7486, 0.5000, 0.4210)  4 Ni 2.40-2.65

=====

Compound: K3Co
Source: Alexandria
Functional: SCAN
Structure: single point on PBEsol structure

Calculated values
DOS(E_F) = 1.7 states/eV per cell
relative energy among the computed polymorphs = 0.0 kJ per mole of atoms
calculated volume = 172.2 Å³/cell
size of the total moment = 0.5157 μB per atom
E_form = 0.61 eV per atom

Lattice parameters (Å, degrees): 5.5638 5.5638 5.5638 90.00 90.00 90.00
Last column: nearest neighbours and their distance in Å.
Space group Pm-3m (No. 221)
One atom of each set of equivalent atoms:
K (0.0000, 0.0000, 0.5000)  4 Co 3.93, 8 K 3.93
Co (0.5000, 0.5000, 0.5000)  12 K 3.93

=====

Compound: Zr3CrCd
Source: Alexandria
Functional: SCAN
Structure: single point on PBEsol structure

Calculated values
DOS(E_F) = 6.4 states/eV per cell
calculated volume = 108.9 Å³/cell
size of the total moment = 0.0001 μB per atom
E_form = 0.44 eV per atom

Lattice parameters (Å, degrees): 4.7751 4.7751 4.7751 90.00 90.00 90.00
Last column: nearest neighbours and their distance in Å.
Space group Pm-3m (No. 221)
One atom of each set of equivalent atoms:
Zr (0.0000, 0.0000, 0.5000)  2 Cr 2.39
Cr (0.0000, 0.0000, 0.0000)  6 Zr 2.39
Cd (0.5000, 0.5000, 0.5000)  12 Zr 3.38

=====

Compound: CdCo2Ag
Source: Alexandria
Functional: SCAN
Structure: single point on PBEsol structure

Calculated values
DOS(E_F) = 3.9 states/eV per cell
calculated volume = 112.4 Å³/cell
size of the total moment = 0.8853 μB per atom
E_form = 0.32 eV per atom

Lattice parameters (Å, degrees): 3.8692 3.8692 7.5078 90.00 90.00 90.00
Last column: nearest neighbours and their distance in Å.
Space group I-4m2 (No. 119)
One atom of each set of equivalent atoms:
Cd (0.0000, 0.0000, 0.0000)  8 Co 2.70-2.74, 4 Ag 2.70
Co (0.0000, 0.0000, 0.5000)  4 Co 2.70, 4 Ag 2.70, 4 Cd 2.74
Co (0.0000, 0.5000, 0.2500)  4 Cd 2.70, 4 Co 2.70, 4 Ag 2.74
Ag (0.0000, 0.5000, 0.7500)  4 Cd 2.70, 8 Co 2.70-2.74

=====

Compound: Li3ZnNi
Source: Alexandria
Functional: SCAN
Structure: single point on PBEsol structure

Calculated values
DOS(E_F) = 2.2 states/eV per cell
calculated volume = 87.0 Å³/cell
size of the total moment = 0.0000 μB per atom
E_form = 0.43 eV per atom

Lattice parameters (Å, degrees): 4.4310 4.4310 4.4310 90.00 90.00 90.00
Last column: nearest neighbours and their distance in Å.
Space group Pm-3m (No. 221)
One atom of each set of equivalent atoms:
Li (0.0000, 0.0000, 0.5000)  2 Ni 2.22
Zn (0.5000, 0.5000, 0.5000)  12 Li 3.13
Ni (0.0000, 0.0000, 0.0000)  6 Li 2.22

=====

Compound: NaCa2As2
Source: Alexandria
Functional: SCAN
Structure: single point on PBEsol structure

Calculated values
DOS(E_F) = 2.0 states/eV per cell
calculated volume = 246.1 Å³/cell
size of the total moment = 0.0000 μB per atom
E_form = -0.98 eV per atom

Lattice parameters (Å, degrees): 8.4165 8.4165 3.4737 90.00 90.00 90.00
Last column: nearest neighbours and their distance in Å.
Space group P4/mbm (No. 127)
One atom of each set of equivalent atoms:
Na (0.0000, 0.0000, 0.0000)  4 As 3.15, 2 Na 3.47
Ca (0.1366, 0.3634, 0.5000)  6 As 2.94-3.08, 1 Ca 3.25
As (0.1642, 0.6642, 0.0000)  6 Ca 2.94-3.08, 2 Na 3.15

=====

Compound: BeAlIn2
Source: Alexandria
Functional: SCAN
Structure: single point on PBEsol structure

Calculated values
DOS(E_F) = 1.8 states/eV per cell
relative energy among the computed polymorphs = 10.0 kJ per mole of atoms
calculated volume = 75.3 Å³/cell
size of the total moment = 0.0000 μB per atom
E_form = 0.40 eV per atom

Lattice parameters (Å, degrees): 4.3118 4.3118 4.0495 90.00 90.00 90.00
Last column: nearest neighbours and their distance in Å.
Space group P4/mmm (No. 123)
One atom of each set of equivalent atoms:
Be (0.0000, 0.0000, 0.0000)  8 In 2.96, 4 Al 3.05
Al (0.5000, 0.5000, 0.0000)  8 In 2.96, 4 Be 3.05
In (0.0000, 0.5000, 0.5000)  4 Be 2.96, 4 Al 2.96, 4 In 3.05

=====

Compound: P2PdPbO
Source: Alexandria
Functional: SCAN
Structure: single point on PBEsol structure

Calculated values
DOS(E_F) = 5.4 states/eV per cell
calculated volume = 105.2 Å³/cell
size of the total moment = 0.0014 μB per atom
raw formation energy = 1136 meV/atom

Lattice parameters (Å, degrees): 5.1378 5.1378 3.9871 90.00 90.00 90.00
Last column: nearest neighbours and their distance in Å.
Space group P4/mmm (No. 123)
One atom of each set of equivalent atoms:
P (0.0000, 0.5000, 0.0000)  2 Pb 2.57
Pd (0.0000, 0.0000, 0.5000)  8 P 3.25, 4 O 3.63
Pb (0.5000, 0.5000, 0.0000)  2 O 1.99
O (0.5000, 0.5000, 0.5000)  2 Pb 1.99

=====

What did the fifth record say?
Compound: Li3ZnNi
Source: Alexandria
Functional: SCAN
Structure: single point on PBEsol structure

Calculated values
DOS(E_F) = 2.2 states/eV per cell
calculated volume = 87.0 Å³/cell
size of the total moment = 0.0000 μB per atom
E_form = 0.43 eV per atom

Lattice parameters (Å, degrees): 4.4310 4.4310 4.4310 90.00 90.00 90.00
Last column: nearest neighbours and their distance in Å.
Space group Pm-3m (No. 221)
One atom of each set of equivalent atoms:
Li (0.0000, 0.0000, 0.5000)  2 Ni 2.22
Zn (0.5000, 0.5000, 0.5000)  12 Li 3.13
Ni (0.0000, 0.0000, 0.0000)  6 Li 2.22